## Na2MnMo2O6 (GGA+U)

Data for a geometry-optimized Na2MnMo2O6 structure.

a = 5.183 Å, b = 5.183 Å, c = 5.821 Å
α = 98.07°, β = 98.07°, γ = 116.10°
Site moments in Bohr magnetons follow the coordinates.
Fractional coordinates of all 11 atoms:
Mn: 0.000 0.000 0.500  2.08
O: 0.614 0.947 0.311  0.00
O: 0.947 0.614 0.311  0.00
O: 0.233 0.233 0.286  0.01
O: 0.053 0.386 0.689  0.00
O: 0.386 0.053 0.689  0.00
O: 0.767 0.767 0.714  0.01
Mo: 0.646 0.354 0.500  1.35
Mo: 0.354 0.646 0.500  1.35
Na: 0.174 0.826 0.000  0.00
Na: 0.826 0.174 0.000  0.00

Computed properties:
Total magnetic moment ... 4.97 Bohr magnetons per cell
SG ... No. 12
DFT total energy ... -6.386 eV/atom